This record from Alexandria describes V2CuPtO8 after structural relaxation. The functional is GGA+U. Values from VASP.

Quantum ESPRESSO input file:
```
&SYSTEM
  ibrav = 0, nat = 12, ntyp = 4
/
ATOMIC_SPECIES
O 16.00 O.upf
Cu 63.55 Cu.upf
V 50.94 V.upf
Pt 195.08 Pt.upf
CELL_PARAMETERS angstrom
5.667 0.405 0.000
-2.150 5.258 0.000
-1.758 -2.832 4.600
ATOMIC_POSITIONS angstrom
O 2.641 1.680 3.243
O 0.359 2.405 0.963
O 0.238 -1.443 3.637
O -0.238 1.443 3.637
O 3.157 3.258 0.963
O 1.424 -0.280 1.357
O 4.243 0.685 1.357
O 3.026 -1.275 3.243
Cu -1.075 2.629 2.300
V 1.758 2.832 0.000
V 2.833 0.203 2.300
Pt 0.000 0.000 0.000
```

Properties
- Energy: -6.320 eV per atom
- Total magnetization: 0.129 μB/atom

---

This record from Alexandria describes CuPtWO6 after structural relaxation. The functional is GGA+U. Values from VASP.

Quantum ESPRESSO input file:
```
&SYSTEM
  ibrav = 0, nat = 18, ntyp = 4
/
ATOMIC_SPECIES
O 16.00 O.upf
Cu 63.55 Cu.upf
Pt 195.08 Pt.upf
W 183.84 W.upf
CELL_PARAMETERS angstrom
-3.156 3.466 -0.174
-3.426 -3.074 0.905
1.098 1.457 9.107
ATOMIC_POSITIONS angstrom
O -1.235 1.091 6.303
O -2.650 2.976 4.646
O -4.519 0.280 0.566
O -4.244 0.744 3.453
O -3.026 2.397 1.573
O -3.187 -1.515 2.219
O -3.880 1.248 6.596
O -2.469 -0.575 8.186
O -2.818 -1.107 5.319
O -2.047 0.132 0.292
O -1.628 0.589 3.162
O -2.306 3.366 7.536
Cu -2.742 0.925 4.922
Cu 0.000 0.000 0.003
Pt -2.377 1.409 7.948
Pt 0.365 0.485 3.029
W 0.736 0.977 6.107
W -3.104 0.444 1.919
```

Properties
- Energy: -6.311 eV per atom
- Total magnetization: 0.115 μB/atom